Entry 1:
The following is a PBE calculation of crystalline Ho2InGa2 at its relaxed geometry, from OQMD via LeMat-Bulk.

Unit cell a=7.2288 b=7.2288 c=4.3735 alpha=90.00 beta=90.00 gamma=90.00
Atoms (fractional coordinates):
Ga (0.6253, 0.1253, 0.0000)
Ga (0.1253, 0.3747, 0.0000)
Ga (0.3747, 0.8747, 0.0000)
Ga (0.8747, 0.6253, 0.0000)
Ho (0.6723, 0.8277, 0.5000)
Ho (0.8277, 0.3277, 0.5000)
Ho (0.3277, 0.1723, 0.5000)
Ho (0.1723, 0.6723, 0.5000)
In (0.5000, 0.5000, 0.0000)
In (0.0000, 0.0000, 0.0000)

Computed properties:
Its raw total energy is -42.1 eV for the cell shown.

Entry 2:
The following is a PBE calculation of crystalline MgZnHgS3 at its relaxed geometry, from OQMD via LeMat-Bulk.

Unit cell a=6.9435 b=6.9435 c=11.5875 alpha=90.00 beta=90.00 gamma=29.55
Atoms (fractional coordinates):
Hg (0.4610, 0.4610, 0.7500)
Hg (0.5391, 0.5391, 0.2500)
S (0.4023, 0.4023, 0.4079)
S (0.8231, 0.8231, 0.7500)
S (0.5977, 0.5977, 0.5921)
S (0.1769, 0.1769, 0.2500)
S (0.5977, 0.5977, 0.9079)
S (0.4023, 0.4023, 0.0921)
Mg (0.8089, 0.8089, 0.2500)
Mg (0.1911, 0.1911, 0.7500)
Zn (0.0000, 0.0000, 0.0000)
Zn (0.0000, 0.0000, 0.5000)

Computed properties:
Its raw total energy is -36.0 eV for the cell shown. The calculation puts the energy above the most stable polymorph in this dataset at 82 meV per atom.

Entry 3:
The following is a PBE calculation of crystalline ScCoPtPb at its relaxed geometry, from OQMD via LeMat-Bulk.

Unit cell a=4.6300 b=4.6300 c=4.6300 alpha=60.00 beta=60.00 gamma=60.00
Atoms (fractional coordinates):
Sc (0.2500, 0.2500, 0.2500)
Pb (0.0000, 0.0000, 0.0000)
Co (0.7500, 0.7500, 0.7500)
Pt (0.5000, 0.5000, 0.5000)

Computed properties:
Its raw total energy is -23.8 eV for the cell shown. The calculation puts the energy above the most stable polymorph in this dataset at 178 meV per atom.

Entry 4:
The following is a PBE calculation of crystalline YPt3C at its relaxed geometry, from OQMD via LeMat-Bulk.

Unit cell a=3.9578 b=3.9578 c=5.0708 alpha=90.00 beta=90.00 gamma=90.00
Atoms (fractional coordinates):
Y (0.0000, 0.0000, 0.9815)
Pt (0.5000, 0.5000, 0.0905)
Pt (0.5000, 0.0000, 0.5022)
Pt (0.0000, 0.5000, 0.5022)
C (0.5000, 0.5000, 0.6915)

Computed properties:
Its raw total energy is -35.8 eV for the cell shown. The calculation puts the energy above the most stable polymorph in this dataset at 0 meV per atom.

Entry 5:
The following is a PBE calculation of crystalline PrHfGe at its relaxed geometry, from OQMD via LeMat-Bulk.

Unit cell a=4.7939 b=4.7939 c=4.7939 alpha=60.00 beta=60.00 gamma=60.00
Atoms (fractional coordinates):
Hf (0.2500, 0.2500, 0.2500)
Ge (0.0000, 0.0000, 0.0000)
Pr (0.7500, 0.7500, 0.7500)

Computed properties:
Its raw total energy is -19.9 eV for the cell shown. The calculation puts the energy above the most stable polymorph in this dataset at 0 meV per atom.

Entry 6:
The following is a PBE calculation of crystalline ZrAl2C at its relaxed geometry, from OQMD via LeMat-Bulk.

Unit cell a=3.0937 b=3.0937 c=14.6141 alpha=90.00 beta=90.00 gamma=120.00
Atoms (fractional coordinates):
Al (0.6667, 0.3333, 0.9281)
Al (0.3333, 0.6667, 0.0719)
Al (0.6667, 0.3333, 0.5719)
Al (0.3333, 0.6667, 0.4281)
C (0.0000, 0.0000, 0.0000)
C (0.0000, 0.0000, 0.5000)
Zr (0.3333, 0.6667, 0.7500)
Zr (0.6667, 0.3333, 0.2500)

Computed properties:
Its raw total energy is -50.1 eV for the cell shown.

Entry 7:
The following is a PBE calculation of crystalline ScAl2Ir at its relaxed geometry, from OQMD via LeMat-Bulk.

Unit cell a=4.4714 b=4.4714 c=4.4714 alpha=60.00 beta=60.00 gamma=60.00
Atoms (fractional coordinates):
Ir (0.7500, 0.7500, 0.7500)
Sc (0.0000, 0.0000, 0.0000)
Al (0.5000, 0.5000, 0.5000)
Al (0.2500, 0.2500, 0.2500)

Computed properties:
Its raw total energy is -25.3 eV for the cell shown.

Entry 8:
The following is a PBE calculation of crystalline CsBeSnAu at its relaxed geometry, from OQMD via LeMat-Bulk.

Unit cell a=5.3596 b=5.3596 c=5.3596 alpha=60.00 beta=60.00 gamma=60.00
Atoms (fractional coordinates):
Be (0.0000, 0.0000, 0.0000)
Cs (0.5000, 0.5000, 0.5000)
Sn (0.2500, 0.2500, 0.2500)
Au (0.7500, 0.7500, 0.7500)

Computed properties:
Its raw total energy is -8.6 eV for the cell shown. The calculation puts the energy above the most stable polymorph in this dataset at 157 meV per atom.

> What is the raw total energy in the seventh record?

-25.3 eV for the cell shown

> What is the formula in the fifth record?

PrHfGe

> The lowest raw total energy belongs to which entry?

ZrAl2C

> Among the records above, which one has the highest raw total energy?

CsBeSnAu